1.
## HoAlSi (PBE)

Data for HoAlSi after structural relaxation.

Calculated values
As for the raw formation energy: -0.25 eV/f.u. The value obtained for the density of states at the Fermi level is 2.4 states/eV per cell.

Unit cell a=4.016 b=4.016 c=4.972 alpha=113.82 beta=113.82 gamma=90.00
Fractional coordinates of all 3 atoms:
Si1 0.967 0.967 0.935
Ho1 0.617 0.617 0.234
Al1 0.266 0.266 0.531

***

2.
## Rb3ScNb2O9 (PBE)

Data for Rb3ScNb2O9 after structural relaxation.

Calculated values
As for the raw formation energy: -33.51 eV/f.u. The value obtained for the density of states at the Fermi level is 7.0 states/eV per cell.

Unit cell a=5.893 b=5.893 c=7.247 alpha=90.00 beta=90.00 gamma=120.00
Each line ends with the local moment (μB).
Fractional coordinates of all 15 atoms:
Rb1 0.333 0.667 0.669  0.00
Rb2 0.000 0.000 0.000  0.00
Rb3 0.667 0.333 0.331  0.00
Sc1 0.000 0.000 0.500  -0.02
Nb1 0.333 0.667 0.185  -0.10
Nb2 0.667 0.333 0.815  -0.10
O1 0.828 0.172 0.674  0.12
O2 0.828 0.656 0.674  0.12
O3 0.344 0.172 0.674  0.12
O4 0.656 0.828 0.326  0.12
O5 0.172 0.344 0.326  0.12
O6 0.172 0.828 0.326  0.12
O7 0.500 0.000 0.000  0.37
O8 0.000 0.500 0.000  0.37
O9 0.500 0.500 0.000  0.37

***

3.
## Pm5YAl4 (PBE)

Data for Pm5YAl4 after structural relaxation.

Calculated values
Its calculated formation energy is -6.391 kcal/mol of atoms. The value obtained for the density of states at the Fermi level is 7.1 states/eV per cell.

Unit cell a=3.686 b=3.686 c=19.978 alpha=90.00 beta=90.00 gamma=90.00
Fractional coordinates of all 10 atoms:
Pm1 0.500 0.500 0.128
Pm2 0.500 0.500 0.314
Pm3 0.500 0.500 0.500
Pm4 0.500 0.500 0.686
Pm5 0.500 0.500 0.872
Y1 0.000 0.000 0.000
Al1 0.000 0.000 0.219
Al2 0.000 0.000 0.407
Al3 0.000 0.000 0.593
Al4 0.000 0.000 0.781

***

4.
## LiCa3B (PBE)

Data for LiCa3B after structural relaxation.

Calculated values
Its calculated formation energy is 5.302 kcal/mol of atoms. The value obtained for the density of states at the Fermi level is 3.3 states/eV per cell. The value obtained for the distance to the lowest polymorph of the same formula is 0.0 kJ/mol of atoms.

Unit cell a=5.387 b=5.387 c=5.387 alpha=90.00 beta=90.00 gamma=90.00
Fractional coordinates of all 5 atoms:
Ca1 0.000 0.500 0.000
Ca2 0.000 0.000 0.500
Ca3 0.500 0.000 0.000
B1 0.000 0.000 0.000
Li1 0.500 0.500 0.500

***

5.
## PmTc2GeN (PBE)

Data for PmTc2GeN after structural relaxation.

Calculated values
As for the raw formation energy: -2.98 eV/f.u. The value obtained for the density of states at the Fermi level is 9.5 states/eV per cell.

Unit cell a=3.901 b=5.923 c=7.489 alpha=90.00 beta=90.00 gamma=109.22
Fractional coordinates of all 10 atoms:
Pm1 0.455 0.911 0.750
Pm2 0.545 0.089 0.250
Tc1 0.166 0.332 0.942
Tc2 0.834 0.668 0.058
Tc3 0.166 0.332 0.558
Tc4 0.834 0.668 0.442
Ge1 0.734 0.468 0.750
Ge2 0.266 0.532 0.250
N1 0.000 0.000 0.000
N2 0.000 0.000 0.500

***

6.
## CsCaSmI6 (PBE)

Data for CsCaSmI6 after structural relaxation.

Calculated values
As for the raw formation energy: -13.75 eV/f.u. The value obtained for the density of states at the Fermi level is 0.0 states/eV per cell.

Unit cell a=8.098 b=8.098 c=17.222 alpha=90.00 beta=90.00 gamma=120.00
Fractional coordinates of all 18 atoms:
Cs1 0.000 0.000 0.000
Cs2 0.000 0.000 0.500
Ca1 0.333 0.667 0.250
Ca2 0.667 0.333 0.750
Sm1 0.667 0.333 0.250
Sm2 0.333 0.667 0.750
I1 0.627 0.622 0.144
I2 0.996 0.373 0.144
I3 0.373 0.996 0.644
I4 0.004 0.627 0.856
I5 0.378 0.373 0.356
I6 0.996 0.622 0.356
I7 0.622 0.996 0.856
I8 0.627 0.004 0.356
I9 0.004 0.378 0.644
I10 0.378 0.004 0.144
I11 0.622 0.627 0.644
I12 0.373 0.378 0.856

***

7.
## SrIn3Sn2 (PBE)

Data for SrIn3Sn2 after structural relaxation.

Calculated values
Its calculated formation energy is -4.705 kcal/mol of atoms. The value obtained for the density of states at the Fermi level is 2.3 states/eV per cell.

Unit cell a=5.255 b=5.300 c=6.791 alpha=112.97 beta=90.00 gamma=90.00
Fractional coordinates of all 6 atoms:
Sr1 0.000 0.000 0.000
In1 0.500 0.175 0.350
In2 0.500 0.500 0.000
In3 0.500 0.825 0.650
Sn1 0.000 0.686 0.372
Sn2 0.000 0.314 0.628

***

8.
## Ta2Ti2Mo (PBE)

Data for Ta2Ti2Mo after structural relaxation.

Calculated values
Its calculated formation energy is 8.606 kcal/mol of atoms. The value obtained for the density of states at the Fermi level is 7.1 states/eV per cell. The value obtained for the distance to the lowest polymorph of the same formula is 41.4 kJ/mol of atoms.

Unit cell a=7.106 b=7.106 c=3.574 alpha=90.00 beta=90.00 gamma=90.00
Fractional coordinates of all 10 atoms:
Mo1 0.000 0.000 0.000
Mo2 0.500 0.500 0.000
Ti1 0.147 0.647 0.500
Ti2 0.647 0.853 0.500
Ti3 0.853 0.353 0.500
Ti4 0.353 0.147 0.500
Ta1 0.345 0.845 0.000
Ta2 0.845 0.655 0.000
Ta3 0.655 0.155 0.000
Ta4 0.155 0.345 0.000

***

9.
## Nb2Te4WSe2 (PBE)

Data for Nb2Te4WSe2 after structural relaxation.

Calculated values
As for the raw formation energy: -3.83 eV/f.u. The value obtained for the density of states at the Fermi level is 8.4 states/eV per cell.

Unit cell a=3.530 b=3.530 c=22.606 alpha=90.00 beta=90.00 gamma=120.00
Fractional coordinates of all 9 atoms:
Nb1 0.000 0.000 0.976
Nb2 0.667 0.333 0.653
Te1 0.000 0.000 0.568
Te2 0.667 0.333 0.062
Te3 0.667 0.333 0.892
Te4 0.000 0.000 0.738
W1 0.000 0.000 0.330
Se1 0.667 0.333 0.401
Se2 0.667 0.333 0.258

***

10.
## BeIr2 (PBE)

Data for BeIr2 after structural relaxation.

Calculated values
Its calculated formation energy is -6.780 kcal/mol of atoms. The value obtained for the density of states at the Fermi level is 4.0 states/eV per cell.

Unit cell a=5.114 b=5.114 c=5.747 alpha=74.92 beta=74.92 gamma=31.01
Fractional coordinates of all 6 atoms:
Be1 0.317 0.317 0.343
Be2 0.627 0.627 0.268
Ir1 0.000 0.000 0.051
Ir2 0.662 0.662 0.654
Ir3 0.945 0.945 0.561
Ir4 0.283 0.283 0.957

***

11.
## Er3MgCu4 (PBE)

Data for Er3MgCu4 after structural relaxation.

Calculated values
Its calculated formation energy is -5.146 kcal/mol of atoms. The value obtained for the density of states at the Fermi level is 6.1 states/eV per cell.

Unit cell a=4.765 b=6.786 c=9.532 alpha=90.00 beta=90.00 gamma=90.00
Fractional coordinates of all 16 atoms:
Mg1 0.000 0.500 0.000
Mg2 0.000 0.500 0.500
Cu1 0.500 0.747 0.000
Cu2 0.500 0.747 0.500
Cu3 0.500 0.253 0.000
Cu4 0.500 0.253 0.500
Cu5 0.000 0.747 0.750
Cu6 0.000 0.747 0.250
Cu7 0.000 0.253 0.250
Cu8 0.000 0.253 0.750
Er1 0.000 0.000 0.000
Er2 0.000 0.000 0.500
Er3 0.500 0.000 0.750
Er4 0.500 0.000 0.250
Er5 0.500 0.500 0.750
Er6 0.500 0.500 0.250

***

12.
## InRu2Br (PBE)

Data for InRu2Br after structural relaxation.

Calculated values
As for the raw formation energy: 2.85 eV/f.u. The value obtained for the density of states at the Fermi level is 4.8 states/eV per cell. The value obtained for the distance to the lowest polymorph of the same formula is 43.4 kJ/mol of atoms.

Unit cell a=3.014 b=5.189 c=4.527 alpha=90.00 beta=90.00 gamma=90.00
Fractional coordinates of all 4 atoms:
Ru1 0.000 0.000 0.000
Ru2 0.500 0.500 0.000
Br1 0.500 0.000 0.500
In1 0.000 0.500 0.500

***

13.
## Sr2Hf2Ta (PBE)

Data for Sr2Hf2Ta after structural relaxation.

Calculated values
Its calculated formation energy is 28.670 kcal/mol of atoms. The value obtained for the density of states at the Fermi level is 7.6 states/eV per cell. The value obtained for the distance to the lowest polymorph of the same formula is 41.4 kJ/mol of atoms.

Unit cell a=4.100 b=4.100 c=8.699 alpha=76.37 beta=76.37 gamma=90.00
Fractional coordinates of all 5 atoms:
Sr1 0.750 0.250 0.500
Sr2 0.250 0.750 0.500
Hf1 0.419 0.419 0.161
Hf2 0.581 0.581 0.839
Ta1 0.000 0.000 0.000

***

14.
## Zr6O (PBE)

Data for Zr6O after structural relaxation.

Calculated values
As for the raw formation energy: -5.26 eV/f.u. The value obtained for the density of states at the Fermi level is 26.7 states/eV per cell.

Unit cell a=5.673 b=9.730 c=10.466 alpha=90.00 beta=90.00 gamma=90.00
Fractional coordinates of all 28 atoms:
Zr1 0.757 0.250 0.496
Zr2 0.243 0.750 0.504
Zr3 0.257 0.750 0.004
Zr4 0.743 0.250 0.996
Zr5 0.418 0.250 0.744
Zr6 0.582 0.750 0.256
Zr7 0.918 0.750 0.756
Zr8 0.082 0.250 0.244
Zr9 0.255 0.416 0.495
Zr10 0.745 0.584 0.505
Zr11 0.755 0.584 0.005
Zr12 0.745 0.916 0.505
Zr13 0.245 0.416 0.995
Zr14 0.255 0.084 0.495
Zr15 0.245 0.084 0.995
Zr16 0.755 0.916 0.005
Zr17 0.925 0.416 0.749
Zr18 0.075 0.584 0.251
Zr19 0.425 0.584 0.751
Zr20 0.075 0.916 0.251
Zr21 0.575 0.416 0.249
Zr22 0.925 0.084 0.749
Zr23 0.575 0.084 0.249
Zr24 0.425 0.916 0.751
O1 0.086 0.250 0.626
O2 0.914 0.750 0.374
O3 0.586 0.750 0.874
O4 0.414 0.250 0.126

***

15.
## SrBeTc2 (PBE)

Data for SrBeTc2 after structural relaxation.

Calculated values
Its calculated formation energy is 15.421 kcal/mol of atoms. The value obtained for the density of states at the Fermi level is 3.8 states/eV per cell.

Unit cell a=5.796 b=5.796 c=5.796 alpha=153.33 beta=129.65 gamma=57.88
Fractional coordinates of all 4 atoms:
Sr1 0.250 0.750 0.500
Tc1 0.953 0.953 0.000
Tc2 0.547 0.547 0.000
Be1 0.750 0.250 0.500

***

16.
## Th6TcSn (PBE)

Data for Th6TcSn after structural relaxation.

Calculated values
Its calculated formation energy is -1.630 kcal/mol of atoms. The value obtained for the density of states at the Fermi level is 10.5 states/eV per cell.

Unit cell a=4.781 b=7.098 c=7.098 alpha=97.13 beta=90.00 gamma=90.00
Fractional coordinates of all 8 atoms:
Th1 0.000 0.608 0.839
Th2 0.000 0.161 0.392
Th3 0.000 0.647 0.353
Th4 0.500 0.946 0.671
Th5 0.500 0.329 0.054
Th6 0.500 0.857 0.143
Tc1 0.000 0.018 0.982
Sn1 0.500 0.434 0.566

***

17.
## Pu4SnGe2Rh (PBE)

Data for Pu4SnGe2Rh after structural relaxation.

Calculated values
Its calculated formation energy is -6.674 kcal/mol of atoms. The value obtained for the density of states at the Fermi level is 36.8 states/eV per cell.

Unit cell a=5.118 b=5.118 c=8.708 alpha=72.91 beta=72.91 gamma=60.00
Each line ends with the local moment (μB).
Fractional coordinates of all 8 atoms:
Pu1 0.387 0.387 0.838  5.27
Pu2 0.863 0.863 0.411  -5.24
Pu3 0.137 0.137 0.589  -5.24
Pu4 0.613 0.613 0.162  5.27
Sn1 0.000 0.000 0.000  0.03
Ge1 0.743 0.743 0.772  0.05
Ge2 0.257 0.257 0.228  0.05
Rh1 0.500 0.500 0.500  0.04

***

18.
## MgNi7Ge2 (PBE)

Data for MgNi7Ge2 after structural relaxation.

Calculated values
Its calculated formation energy is 4.773 kcal/mol of atoms. The value obtained for the density of states at the Fermi level is 12.9 states/eV per cell.

Unit cell a=4.040 b=6.672 c=6.672 alpha=121.46 beta=90.00 gamma=90.00
Each line ends with the local moment (μB).
Fractional coordinates of all 10 atoms:
Mg1 0.000 0.000 0.000  0.00
Ni1 0.000 0.792 0.208  0.03
Ni2 0.000 0.208 0.792  0.03
Ni3 0.500 0.071 0.294  0.06
Ni4 0.500 0.929 0.706  0.06
Ni5 0.500 0.294 0.071  0.06
Ni6 0.500 0.706 0.929  0.06
Ni7 0.500 0.500 0.500  0.22
Ge1 0.500 0.699 0.301  -0.01
Ge2 0.500 0.301 0.699  -0.01

***

19.
## PuAlAu3 (PBE)

Data for PuAlAu3 after structural relaxation.

Calculated values
Its calculated formation energy is -9.403 kcal/mol of atoms. The value obtained for the density of states at the Fermi level is 57.1 states/eV per cell.

Unit cell a=5.733 b=5.748 c=12.557 alpha=90.00 beta=90.00 gamma=90.00
Each line ends with the local moment (μB).
Fractional coordinates of all 20 atoms:
Pu1 0.500 0.000 0.000  5.33
Pu2 0.000 0.500 0.500  5.33
Pu3 0.000 0.500 0.000  5.33
Pu4 0.500 0.000 0.500  5.33
Al1 0.305 0.801 0.250  0.00
Al2 0.805 0.699 0.750  0.00
Al3 0.695 0.199 0.750  0.00
Al4 0.195 0.301 0.250  0.00
Au1 0.985 0.988 0.890  0.01
Au2 0.485 0.512 0.390  0.01
Au3 0.485 0.512 0.110  0.01
Au4 0.015 0.012 0.390  0.01
Au5 0.015 0.012 0.110  0.01
Au6 0.515 0.488 0.610  0.01
Au7 0.515 0.488 0.890  0.01
Au8 0.985 0.988 0.610  0.01
Au9 0.626 0.119 0.250  0.01
Au10 0.126 0.381 0.750  0.01
Au11 0.374 0.881 0.750  0.01
Au12 0.874 0.619 0.250  0.01

***

20.
## Sr3PuSb3 (PBE)

Data for Sr3PuSb3 after structural relaxation.

Calculated values
As for the raw formation energy: -5.11 eV/f.u. The value obtained for the density of states at the Fermi level is 24.8 states/eV per cell.

Unit cell a=8.509 b=8.509 c=8.472 alpha=92.69 beta=92.69 gamma=113.58
Each line ends with the local moment (μB).
Fractional coordinates of all 14 atoms:
Sr1 0.613 0.613 0.353  -0.01
Sr2 0.164 0.836 0.500  -0.02
Sr3 0.836 0.164 0.500  -0.02
Sr4 0.221 0.779 0.000  0.00
Sr5 0.779 0.221 0.000  0.00
Sr6 0.387 0.387 0.647  -0.01
Pu1 0.780 0.780 0.878  5.24
Pu2 0.220 0.220 0.122  5.24
Sb1 0.917 0.917 0.217  -0.07
Sb2 0.836 0.497 0.708  -0.07
Sb3 0.497 0.836 0.708  -0.07
Sb4 0.164 0.503 0.292  -0.07
Sb5 0.503 0.164 0.292  -0.07
Sb6 0.083 0.083 0.783  -0.07

***

21.
## HIrSe2N (PBE)

Data for HIrSe2N after structural relaxation.

Calculated values
The value obtained for the density of states at the Fermi level is 4.3 states/eV per cell. The value obtained for the distance to the lowest polymorph of the same formula is 0.0 kJ/mol of atoms.

Unit cell a=5.177 b=5.177 c=3.632 alpha=90.00 beta=90.00 gamma=90.00
Each line ends with the local moment (μB).
Fractional coordinates of all 5 atoms:
H1 0.500 0.500 0.500  0.26
Ir1 0.000 0.000 0.000  -0.14
Se1 0.000 0.500 0.000  -0.22
Se2 0.500 0.000 0.000  -0.22
N1 0.000 0.000 0.500  0.00

***

22.
## Be2TlAs (PBE)

Data for Be2TlAs after structural relaxation.

Calculated values
Its calculated formation energy is 17.902 kcal/mol of atoms. The value obtained for the density of states at the Fermi level is 1.6 states/eV per cell. The value obtained for the distance to the lowest polymorph of the same formula is 55.3 kJ/mol of atoms.

Unit cell a=4.568 b=4.568 c=4.568 alpha=60.00 beta=60.00 gamma=60.00
Fractional coordinates of all 4 atoms:
Be1 0.250 0.250 0.250
Be2 0.750 0.750 0.750
Tl1 0.500 0.500 0.500
As1 0.000 0.000 0.000

***

| no. | spin magnetization (μB per formula unit) | density (g/cm³) |
| --- | --- | --- |
| 1 | 0.00 | 5.55 |
| 2 | 2.04 | 4.81 |
| 3 | 0.00 | 5.64 |
| 4 | 0.00 | 1.47 |
| 5 | 0.00 | 8.69 |
| 6 | 0.00 | 3.68 |
| 7 | 0.00 | 6.38 |
| 8 | 0.00 | 10.18 |
| 9 | 0.00 | 7.06 |
| 10 | 0.00 | 17.52 |
| 11 | 0.00 | 8.41 |
| 12 | 0.00 | 9.31 |
| 13 | 0.00 | 8.59 |
| 14 | 0.00 | 6.48 |
| 15 | 0.00 | 7.27 |
| 16 | 0.00 | 11.18 |
| 17 | 0.48 | 12.00 |
| 18 | 0.50 | 6.28 |
| 19 | 5.63 | 13.83 |
| 20 | 4.99 | 5.17 |
| 21 | 0.22 | 6.23 |
| 22 | 0.00 | 7.32 |